Version w
# ReNi2Pt8

ReNi2Pt8 after structural relaxation (PBE, the Alexandria database).

symmetry: C2/m (12)

Cell lengths 4.8856, 6.8098, 6.8098 Å; angles 62.06, 105.14, 105.14 degrees
With the nearest neighbours (Å) after each atom.
Fractional coordinates of all 11 atoms:
Pt (0.2847, 0.4012, 0.4012)  1 Ni 2.51, 6 Pt 2.60-2.80
Pt (0.8798, 0.1880, 0.1880)  2 Ni 2.39-2.52, 1 Re 2.44, 1 Pt 2.67
Pt (0.7737, 0.1987, 0.5799)  2 Ni 2.49-2.68, 1 Re 2.60, 2 Pt 2.68-2.78
Pt (0.7737, 0.5799, 0.1987)  2 Ni 2.49-2.68, 1 Re 2.60, 2 Pt 2.68-2.78
Pt (0.7153, 0.5988, 0.5988)  1 Ni 2.51, 6 Pt 2.60-2.80
Pt (0.2263, 0.4201, 0.8013)  2 Ni 2.49-2.68, 1 Re 2.60, 2 Pt 2.68-2.78
Pt (0.2263, 0.8013, 0.4201)  2 Ni 2.49-2.68, 1 Re 2.60, 2 Pt 2.68-2.78
Pt (0.1202, 0.8120, 0.8120)  2 Ni 2.39-2.52, 1 Re 2.44, 1 Pt 2.67
Ni (0.4081, 0.2077, 0.2077)  5 Pt 2.39-2.52, 1 Re 2.63
Ni (0.5919, 0.7923, 0.7923)  5 Pt 2.39-2.52, 1 Re 2.63
Re (0.0000, 0.0000, 0.0000)  6 Pt 2.44-2.60, 2 Ni 2.63



Version x
# ReNi2Pt8

ReNi2Pt8 after structural relaxation (PBE, the Alexandria database).

symmetry: Immm (71)

Cell lengths 3.9035, 7.2751, 7.2392 Å; angles 120.16, 105.64, 90.00 degrees
With the nearest neighbours (Å) after each atom.
Fractional coordinates of all 11 atoms:
Pt (0.0000, 0.2787, 0.0000)  2 Ni 2.61, 6 Pt 2.75-2.76, 2 Re 2.81
Pt (0.3376, 0.5716, 0.6752)  3 Ni 2.59-2.75, 1 Re 2.73, 7 Pt 2.74-2.86
Pt (0.8424, 0.8424, 0.6848)  2 Re 2.71, 8 Pt 2.74-2.76, 2 Ni 2.81
Pt (0.0000, 0.7213, 0.0000)  2 Ni 2.61, 6 Pt 2.75-2.76, 2 Re 2.81
Pt (0.6624, 0.4284, 0.3248)  3 Ni 2.59-2.75, 1 Re 2.73, 7 Pt 2.74-2.86
Pt (0.3376, 0.1036, 0.6752)  3 Ni 2.59-2.75, 1 Re 2.73, 7 Pt 2.74-2.86
Pt (0.1576, 0.1576, 0.3152)  2 Re 2.71, 8 Pt 2.74-2.76, 2 Ni 2.81
Pt (0.6624, 0.8964, 0.3248)  3 Ni 2.59-2.75, 1 Re 2.73, 7 Pt 2.74-2.86
Ni (0.1729, 0.6729, 0.3458)  10 Pt 2.59-2.81
Ni (0.8271, 0.3271, 0.6542)  10 Pt 2.59-2.81
Re (0.5000, 0.0000, 0.0000)  12 Pt 2.71-2.81



It comes down to version x, which is 422 meV per atom more stable than the next structure.



Version w
# Ni4PtRh2

Ni4PtRh2 after structural relaxation (PBE, the Alexandria database).

symmetry: I4_1/amd (141)

Cell lengths 5.1365, 5.1365, 8.6865 Å; angles 107.20, 107.20, 90.00 degrees
With the nearest neighbours (Å) after each atom.
Fractional coordinates of all 14 atoms:
Ni (0.0335, 0.7426, 0.0672)  3 Ni 2.15-2.36
Ni (0.7163, 0.9254, 0.4328)  3 Ni 2.15-2.36
Ni (0.7165, 0.5074, 0.4328)  3 Ni 2.15-2.36
Ni (0.0746, 0.2835, 0.5672)  3 Ni 2.15-2.36
Ni (0.6754, 0.9665, 0.9328)  3 Ni 2.15-2.36
Ni (0.4926, 0.2837, 0.5672)  3 Ni 2.15-2.36
Ni (0.0337, 0.3246, 0.0672)  3 Ni 2.15-2.36
Ni (0.2574, 0.9663, 0.9328)  3 Ni 2.15-2.36
Rh (0.8750, 0.1250, 0.2500)  6 Ni 2.44-2.51, 2 Rh 2.57
Rh (0.3750, 0.1250, 0.2500)  6 Ni 2.44-2.51, 2 Rh 2.57
Rh (0.8750, 0.6250, 0.7500)  6 Ni 2.44-2.51, 2 Rh 2.57
Rh (0.8750, 0.1250, 0.7500)  6 Ni 2.44-2.51, 2 Rh 2.57
Pt (0.5000, 0.5000, 0.0000)  8 Ni 2.83
Pt (0.2500, 0.7500, 0.5000)  8 Ni 2.83



Version x
# Ni4PtRh2

Ni4PtRh2 after structural relaxation (PBE, the Alexandria database).

symmetry: I4mm (107)

Cell lengths 6.0295, 6.0295, 5.0030 Å; angles 127.07, 127.07, 89.98 degrees
With the nearest neighbours (Å) after each atom.
Fractional coordinates of all 7 atoms:
Rh (0.7709, 0.2708, 0.5416)  8 Ni 2.52-2.54, 2 Rh 2.62
Rh (0.2708, 0.7708, 0.5416)  8 Ni 2.52-2.54, 2 Rh 2.62
Ni (0.3115, 0.3115, 0.0360)  4 Ni 2.49-2.72, 4 Rh 2.52-2.54, 2 Pt 2.60-2.61
Ni (0.3115, 0.7244, 0.0359)  4 Ni 2.49-2.72, 4 Rh 2.52-2.54, 2 Pt 2.60-2.61
Ni (0.7243, 0.3115, 0.0358)  4 Ni 2.49-2.72, 4 Rh 2.52-2.54, 2 Pt 2.60-2.61
Ni (0.7245, 0.7244, 0.0360)  4 Ni 2.49-2.72, 4 Rh 2.52-2.54, 2 Pt 2.60-2.61
Pt (0.8865, 0.8866, 0.7731)  8 Ni 2.60-2.61



It comes down to version x, which is 423 meV per atom more stable than the next structure.



Version w
# NiPt8Rh2

NiPt8Rh2 after structural relaxation (PBE, the Alexandria database).

symmetry: C2/m (12)

Cell lengths 4.6344, 6.7631, 6.7631 Å; angles 62.09, 78.00, 78.00 degrees
With the nearest neighbours (Å) after each atom.
Fractional coordinates of all 11 atoms:
Pt (0.2029, 0.7717, 0.3729)  1 Ni 2.52, 1 Rh 2.60, 6 Pt 2.67-2.82
Pt (0.7971, 0.6271, 0.2283)  1 Ni 2.52, 1 Rh 2.60, 6 Pt 2.67-2.82
Pt (0.0828, 0.7749, 0.7749)  1 Ni 2.54, 2 Rh 2.59-2.63, 4 Pt 2.67-2.76
Pt (0.3370, 0.3578, 0.3578)  1 Rh 2.69, 8 Pt 2.75-2.82
Pt (0.9172, 0.2251, 0.2251)  1 Ni 2.54, 2 Rh 2.59-2.63, 4 Pt 2.67-2.76
Pt (0.7971, 0.2283, 0.6271)  1 Ni 2.52, 1 Rh 2.60, 6 Pt 2.67-2.82
Pt (0.2029, 0.3729, 0.7717)  1 Ni 2.52, 1 Rh 2.60, 6 Pt 2.67-2.82
Pt (0.6630, 0.6422, 0.6422)  1 Rh 2.69, 8 Pt 2.75-2.82
Rh (0.5126, 0.8816, 0.8816)  1 Ni 2.44, 5 Pt 2.59-2.69, 1 Rh 2.72
Rh (0.4874, 0.1184, 0.1184)  1 Ni 2.44, 5 Pt 2.59-2.69, 1 Rh 2.72
Ni (0.0000, 0.0000, 0.0000)  2 Rh 2.44, 6 Pt 2.52-2.54



Version x
# NiPt8Rh2

NiPt8Rh2 after structural relaxation (PBE, the Alexandria database).

symmetry: C2/m (12)

Cell lengths 3.9257, 6.2067, 7.3287 Å; angles 104.84, 105.54, 90.00 degrees
With the nearest neighbours (Å) after each atom.
Fractional coordinates of all 11 atoms:
Ni (0.5000, 0.0000, 0.0000)  12 Pt 2.74-2.76
Pt (0.6804, 0.9124, 0.3608)  1 Ni 2.74, 8 Pt 2.76-2.82, 3 Rh 2.78-2.80
Pt (0.9549, 0.2682, 0.9098)  9 Pt 2.74-2.83, 2 Ni 2.76, 1 Rh 2.77
Pt (0.4084, 0.5520, 0.8167)  1 Ni 2.74, 8 Pt 2.74-2.83, 3 Rh 2.75-2.76
Pt (0.5916, 0.4480, 0.1833)  1 Ni 2.74, 8 Pt 2.74-2.83, 3 Rh 2.75-2.76
Pt (0.1356, 0.1819, 0.2711)  7 Pt 2.74-2.81, 3 Rh 2.75-2.80, 2 Ni 2.76
Pt (0.3196, 0.0876, 0.6392)  1 Ni 2.74, 8 Pt 2.76-2.82, 3 Rh 2.78-2.80
Pt (0.0451, 0.7318, 0.0902)  9 Pt 2.74-2.83, 2 Ni 2.76, 1 Rh 2.77
Pt (0.8644, 0.8181, 0.7289)  7 Pt 2.74-2.81, 3 Rh 2.75-2.80, 2 Ni 2.76
Rh (0.7746, 0.3671, 0.5492)  10 Pt 2.75-2.80, 2 Rh 2.77
Rh (0.2254, 0.6329, 0.4508)  10 Pt 2.75-2.80, 2 Rh 2.77



It comes down to version x, which is 309 meV per atom more stable than the next structure.



Version w
# Ni4PtRh

Ni4PtRh after structural relaxation (PBE, the Alexandria database).

symmetry: P4/mmm (123)

Cell lengths 2.6478, 2.6478, 10.6626 Å; angles 90.00, 90.00, 90.00 degrees
With the nearest neighbours (Å) after each atom.
Fractional coordinates of all 6 atoms:
Ni (0.5000, 0.5000, 0.1756)  8 Ni 2.49-2.65, 4 Pt 2.65
Ni (0.0000, 0.0000, 0.6697)  8 Ni 2.49-2.65, 4 Rh 2.60
Ni (0.0000, 0.0000, 0.3303)  8 Ni 2.49-2.65, 4 Rh 2.60
Ni (0.5000, 0.5000, 0.8244)  8 Ni 2.49-2.65, 4 Pt 2.65
Pt (0.0000, 0.0000, 0.0000)  4 Pt 2.65, 8 Ni 2.65
Rh (0.5000, 0.5000, 0.5000)  8 Ni 2.60, 4 Rh 2.65



Version x
# Ni4PtRh

Ni4PtRh after structural relaxation (PBE, the Alexandria database).

symmetry: F-43m (216)

Cell lengths 4.7124, 4.7124, 4.7124 Å; angles 60.00, 60.00, 60.00 degrees
With the nearest neighbours (Å) after each atom.
Fractional coordinates of all 6 atoms:
Ni (0.6250, 0.6250, 0.1249)  6 Ni 2.36
Ni (0.6250, 0.1249, 0.6250)  6 Ni 2.36
Ni (0.6250, 0.6250, 0.6250)  6 Ni 2.36
Ni (0.1249, 0.6250, 0.6250)  6 Ni 2.36
Rh (0.0000, 0.0000, 0.0000)  12 Ni 2.76, 4 Pt 2.89
Pt (0.2500, 0.2500, 0.2500)  12 Ni 2.76, 4 Rh 2.89



It comes down to version w, which is 33 meV per atom more stable than the next structure.



Version w
# NiPt2Rh2

NiPt2Rh2 after structural relaxation (PBE, the Alexandria database).

symmetry: P4/mbm (127)

Cell lengths 6.4629, 6.4629, 3.7385 Å; angles 90.00, 90.00, 90.00 degrees
With the nearest neighbours (Å) after each atom.
Fractional coordinates of all 10 atoms:
Rh (0.6488, 0.8512, 0.5000)  6 Pt 2.63-2.68, 1 Rh 2.72
Rh (0.8512, 0.3512, 0.5000)  6 Pt 2.63-2.68, 1 Rh 2.72
Rh (0.3512, 0.1488, 0.5000)  6 Pt 2.63-2.68, 1 Rh 2.72
Rh (0.1488, 0.6488, 0.5000)  6 Pt 2.63-2.68, 1 Rh 2.72
Pt (0.8516, 0.6484, 0.0000)  2 Ni 2.47, 6 Rh 2.63-2.68, 1 Pt 2.71
Pt (0.3516, 0.8516, 0.0000)  2 Ni 2.47, 6 Rh 2.63-2.68, 1 Pt 2.71
Pt (0.6484, 0.1484, 0.0000)  2 Ni 2.47, 6 Rh 2.63-2.68, 1 Pt 2.71
Pt (0.1484, 0.3516, 0.0000)  2 Ni 2.47, 6 Rh 2.63-2.68, 1 Pt 2.71
Ni (0.5000, 0.5000, 0.0000)  4 Pt 2.47
Ni (0.0000, 0.0000, 0.0000)  4 Pt 2.47



Version x
# NiPt2Rh2

NiPt2Rh2 after structural relaxation (PBE, the Alexandria database).

symmetry: R-3m (166)

Cell lengths 4.3281, 4.3281, 5.1001 Å; angles 64.89, 64.89, 59.99 degrees
With the nearest neighbours (Å) after each atom.
Fractional coordinates of all 5 atoms:
Rh (0.1894, 0.6894, 0.4316)  1 Ni 2.53, 3 Rh 2.57, 4 Pt 2.72-2.74
Rh (0.8106, 0.3106, 0.5684)  1 Ni 2.53, 3 Rh 2.57, 4 Pt 2.72-2.74
Pt (0.6067, 0.1067, 0.1800)  3 Ni 2.62, 4 Rh 2.72-2.74, 1 Pt 2.85
Pt (0.3933, 0.8933, 0.8200)  3 Ni 2.62, 4 Rh 2.72-2.74, 1 Pt 2.85
Ni (0.0000, 0.5000, 0.0000)  2 Rh 2.53, 6 Pt 2.62



It comes down to version x, which is 160 meV per atom more stable than the next structure.